The following is a PBE calculation of crystalline HfNbTl2 at its relaxed geometry, from Alexandria via LeMat-Bulk.

Results
Calculated formation energy, eV/atom: 0.437
Space-group type: Fm-3m, No. 225
Excess energy over the best structure of this formula in the dataset, eV/atom: 0.2449
Total magnetization, Bohr magnetons per cell: 0.000
DOS at the Fermi energy, states/eV per atom: 1.00

The structure in extended XYZ format:
```
16
Lattice="7.005 0.000 0.000 0.000 7.005 0.000 0.000 0.000 7.005" Properties=species:S:1:pos:R:3 pbc="T T T"
Hf 0.000 0.000 0.000
Hf 0.000 3.502 3.502
Hf 3.502 0.000 3.502
Hf 3.502 3.502 0.000
Nb 0.000 0.000 3.502
Nb 0.000 3.502 0.000
Nb 3.502 0.000 0.000
Nb 3.502 3.502 3.502
Tl 1.751 1.751 1.751
Tl 1.751 1.751 5.253
Tl 1.751 5.253 1.751
Tl 1.751 5.253 5.253
Tl 5.253 1.751 1.751
Tl 5.253 1.751 5.253
Tl 5.253 5.253 1.751
Tl 5.253 5.253 5.253
```

The following is a PBE calculation of crystalline Hf2Nb2Tl at its relaxed geometry, from Alexandria via LeMat-Bulk.

Results
Calculated formation energy, eV/atom: 0.732
Space-group type: I4/mmm, No. 139
Excess energy over the best structure of this formula in the dataset, eV/atom: 0.5141
Total magnetization, Bohr magnetons per cell: 0.000
DOS at the Fermi energy, states/eV per atom: 1.31

The structure in extended XYZ format:
```
10
Lattice="4.135 0.000 0.000 0.000 4.135 0.000 0.000 0.000 13.379" Properties=species:S:1:pos:R:3 pbc="T T T"
Hf 0.000 2.068 3.345
Hf 0.000 2.068 10.034
Hf 2.068 0.000 3.345
Hf 2.068 0.000 10.034
Nb 0.000 0.000 1.251
Nb 0.000 0.000 12.128
Nb 2.068 2.068 5.438
Nb 2.068 2.068 7.941
Tl 0.000 0.000 6.690
Tl 2.068 2.068 0.000
```

The following is a PBE calculation of crystalline HfNb2Tl2 at its relaxed geometry, from Alexandria via LeMat-Bulk.

Results
Calculated formation energy, eV/atom: 0.662
Space-group type: I4/mmm, No. 139
Excess energy over the best structure of this formula in the dataset, eV/atom: 0.1717
Total magnetization, Bohr magnetons per cell: 0.000
DOS at the Fermi energy, states/eV per atom: 0.62

The structure in extended XYZ format:
```
10
Lattice="4.242 0.000 0.000 0.000 4.242 0.000 0.000 0.000 13.104" Properties=species:S:1:pos:R:3 pbc="T T T"
Hf 0.000 0.000 0.000
Hf 2.121 2.121 6.552
Nb 0.000 0.000 5.393
Nb 0.000 0.000 7.711
Nb 2.121 2.121 1.159
Nb 2.121 2.121 11.945
Tl 0.000 2.121 3.276
Tl 0.000 2.121 9.828
Tl 2.121 0.000 3.276
Tl 2.121 0.000 9.828
```

The following is a PBE calculation of crystalline HfNbTl2 at its relaxed geometry, from Alexandria via LeMat-Bulk.

Results
Calculated formation energy, eV/atom: 0.226
Space-group type: Cc, No. 9
Excess energy over the best structure of this formula in the dataset, eV/atom: 0.0348
Total magnetization, Bohr magnetons per cell: 0.000
DOS at the Fermi energy, states/eV per atom: 0.66

The structure in extended XYZ format:
```
16
Lattice="6.204 0.000 0.000 0.000 10.553 0.000 -3.071 0.000 5.295" Properties=species:S:1:pos:R:3 pbc="T T T"
Hf 0.000 2.392 0.000
Hf -1.536 8.161 2.647
Hf 1.566 2.885 2.647
Hf 3.102 7.668 0.000
Nb -1.503 5.052 4.820
Nb 0.033 5.501 2.172
Nb 3.135 0.224 2.172
Nb 1.599 10.329 4.820
Tl -1.530 2.917 2.684
Tl 0.006 7.636 0.036
Tl 0.024 0.272 2.144
Tl -1.512 10.282 4.791
Tl 3.108 2.359 0.036
Tl 1.572 8.194 2.684
Tl 1.590 5.005 4.791
Tl 3.126 5.548 2.144
```

The following is a PBE calculation of crystalline HfNbTl2 at its relaxed geometry, from Alexandria via LeMat-Bulk.

Results
Calculated formation energy, eV/atom: 0.242
Space-group type: C2, No. 5
Excess energy over the best structure of this formula in the dataset, eV/atom: 0.0500
Total magnetization, Bohr magnetons per cell: 0.000
DOS at the Fermi energy, states/eV per atom: 0.78

The structure in extended XYZ format:
```
16
Lattice="10.407 0.000 0.000 0.000 5.696 0.000 -1.483 0.000 6.077" Properties=species:S:1:pos:R:3 pbc="T T T"
Hf 1.942 0.000 2.338
Hf 1.779 2.848 3.739
Hf 7.146 2.848 2.338
Hf 6.982 0.000 3.739
Nb -0.880 1.655 4.316
Nb 4.601 4.503 1.761
Nb 4.324 4.503 4.316
Nb 9.804 1.655 1.761
Tl -0.741 4.485 3.039
Tl 0.000 5.012 0.000
Tl 2.059 2.798 0.698
Tl 1.662 5.646 5.379
Tl 4.462 1.637 3.039
Tl 5.204 2.164 0.000
Tl 7.262 5.646 0.698
Tl 6.866 2.798 5.379
```

The following is a PBE calculation of crystalline HfNbTl2 at its relaxed geometry, from Alexandria via LeMat-Bulk.

Results
Calculated formation energy, eV/atom: 0.249
Space-group type: Imm2, No. 44
Excess energy over the best structure of this formula in the dataset, eV/atom: 0.0573
Total magnetization, Bohr magnetons per cell: 0.000
DOS at the Fermi energy, states/eV per atom: 0.68

The structure in extended XYZ format:
```
8
Lattice="3.211 0.000 0.000 0.000 10.083 0.000 0.000 0.000 5.489" Properties=species:S:1:pos:R:3 pbc="T T T"
Hf 0.000 0.000 0.000
Hf 1.606 5.041 2.744
Nb 0.000 5.041 0.182
Nb 1.606 0.000 2.927
Tl 0.000 2.435 1.980
Tl 0.000 7.648 1.980
Tl 1.606 2.606 4.724
Tl 1.606 7.476 4.724
```

- Which value of calculated formation energy does entry 2 give?
  0.732 eV/atom